Record 1
4
Lattice="0.0000 4.3995 4.3995 4.3995 0.0000 4.3995 4.3995 4.3995 0.0000" Properties=species:S:1:pos:R:3 comment="PBE-GGA CsKZn2, relaxed" ef_mev_per_atom=238 dft_energy_ev_per_atom=-0.886 pbc="T T T"
Zn 2.1998 2.1998 2.1998
Zn 6.5993 6.5993 6.5993
Cs 4.3995 4.3995 4.3995
K 0.0000 0.0000 0.0000


Record 2
3
Lattice="3.8415 0.0000 0.0000 0.0000 4.6905 0.0000 0.0000 -2.3453 4.0621" Properties=species:S:1:pos:R:3 comment="PBE-GGA ThAlHg, relaxed" ef_mev_per_atom=-330 dft_energy_ev_per_atom=-4.151 pbc="T T T"
Hg 0.6381 0.0000 0.0000
Al 0.6416 0.0000 2.7081
Th 2.5618 2.3453 1.3540